Entry 1:
The following is a DFT calculation (GGA-PBE) of an optimized crystal structure of Ba4Zn2Cu.

Cell lengths 6.2997, 6.2997, 9.1440 Å; angles 69.85, 69.85, 90.00 degrees
With the nearest neighbours (Å) after each atom.
Sites, in units of the cell vectors:
Ba 0.5000 0.0000 0.0000  2 Cu 3.15, 4 Zn 3.43
Cu 0.0000 0.0000 0.0000  6 Ba 3.15-3.27
Zn 0.4144 0.4144 0.1711  1 Zn 2.73
Ba 0.7955 0.7955 0.4091  1 Cu 3.27, 1 Zn 3.35
Zn 0.5856 0.5856 0.8289  1 Zn 2.73
Ba 0.0000 0.5000 0.0000  2 Cu 3.15, 4 Zn 3.43
Ba 0.2045 0.2045 0.5909  1 Cu 3.27, 1 Zn 3.35

Results
The magnetic moment comes out at 0.00 μB/cell. As for the space-group type: I4/mmm, No. 139.



Entry 2:
The following is a DFT calculation (GGA-PBE) of an optimized crystal structure of Ba3Zn3Cu.

Cell lengths 4.5413, 6.5091, 16.1510 Å; angles 85.63, 81.92, 69.58 degrees
With the nearest neighbours (Å) after each atom.
Sites, in units of the cell vectors:
Zn 0.0522 0.1415 0.7542  1 Cu 2.71
Ba 0.2520 0.2564 0.2396  6 Zn 3.32-3.68, 2 Cu 3.52
Zn 0.1878 0.1650 0.4594  3 Cu 2.58-2.71
Ba 0.4770 0.6510 0.3949  5 Zn 3.33-3.50, 3 Cu 3.40-3.57
Zn 0.9019 0.1171 0.0791  2 Zn 2.94-3.06
Zn 0.0981 0.8829 0.9209  2 Zn 2.94-3.06
Ba 0.5230 0.3490 0.6051  5 Zn 3.33-3.50, 3 Cu 3.40-3.57
Zn 0.8122 0.8350 0.5406  3 Cu 2.58-2.71
Ba 0.3971 0.2872 0.9185  7 Zn 3.35-3.64
Ba 0.7480 0.7436 0.7604  6 Zn 3.32-3.68, 2 Cu 3.52
Ba 0.6029 0.7128 0.0815  7 Zn 3.35-3.64
Cu 0.7705 0.0656 0.3934  4 Zn 2.58-2.71
Cu 0.2295 0.9344 0.6066  4 Zn 2.58-2.71
Zn 0.9478 0.8585 0.2458  1 Cu 2.71

Results
The magnetic moment comes out at 0.00 μB/cell. As for the space-group type: C2/m, No. 12.



Entry 3:
The following is a DFT calculation (GGA-PBE) of an optimized crystal structure of BaZnCu.

Cell lengths 5.3190, 5.3190, 5.3190 Å; angles 60.00, 60.00, 60.00 degrees
With the nearest neighbours (Å) after each atom.
Sites, in units of the cell vectors:
Ba 0.7500 0.7500 0.7500  4 Cu 3.26, 4 Zn 3.26
Zn 0.5000 0.5000 0.5000  4 Ba 3.26
Cu 0.0000 0.0000 0.0000  4 Ba 3.26

Results
The magnetic moment comes out at 0.00 μB/cell. As for the space-group type: F-43m, No. 216.



Entry 4:
The following is a DFT calculation (GGA-PBE) of an optimized crystal structure of BaZn3Cu2.

Cell lengths 5.2937, 6.7271, 6.7271 Å; angles 104.81, 90.00, 90.00 degrees
With the nearest neighbours (Å) after each atom.
Sites, in units of the cell vectors:
Ba 0.2500 0.3377 0.3377  9 Zn 3.35-3.43, 8 Cu 3.70-3.75
Cu 0.5000 0.7987 0.2013  6 Zn 2.54-2.59, 2 Cu 2.65
Ba 0.7500 0.6623 0.6623  9 Zn 3.35-3.43, 8 Cu 3.70-3.75
Zn 0.2500 0.5310 0.9261  4 Cu 2.54-2.59, 1 Zn 2.67
Zn 0.7500 0.4690 0.0739  4 Cu 2.54-2.59, 1 Zn 2.67
Zn 0.7500 0.0739 0.4690  4 Cu 2.54-2.59, 1 Zn 2.67
Cu 0.0000 0.2013 0.7987  6 Zn 2.54-2.59, 2 Cu 2.65
Zn 0.2500 0.9261 0.5310  4 Cu 2.54-2.59, 1 Zn 2.67
Zn 0.2500 0.9278 0.9278  4 Cu 2.59, 4 Zn 2.67-2.90
Zn 0.7500 0.0722 0.0722  4 Cu 2.59, 4 Zn 2.67-2.90
Cu 0.0000 0.7987 0.2013  6 Zn 2.54-2.59, 2 Cu 2.65
Cu 0.5000 0.2013 0.7987  6 Zn 2.54-2.59, 2 Cu 2.65

Results
The magnetic moment comes out at 0.00 μB/cell. As for the space-group type: Cmcm, No. 63.



Entry 5:
The following is a DFT calculation (GGA-PBE) of an optimized crystal structure of BaZn4Cu.

Cell lengths 6.3910, 6.3910, 7.0215 Å; angles 73.62, 73.62, 67.50 degrees
With the nearest neighbours (Å) after each atom.
Sites, in units of the cell vectors:
Zn 0.5775 0.1910 0.4271  2 Cu 2.48-2.71, 3 Zn 2.58-2.74
Zn 0.6863 0.3137 0.0000  2 Cu 2.64, 3 Zn 2.65-2.83
Zn 0.1910 0.5775 0.4271  2 Cu 2.48-2.71, 3 Zn 2.58-2.74
Ba 0.8337 0.8337 0.8049  13 Zn 3.33-3.68, 3 Cu 3.37-3.64
Ba 0.1663 0.1663 0.1951  13 Zn 3.33-3.68, 3 Cu 3.37-3.64
Cu 0.4138 0.4138 0.7420  7 Zn 2.48-2.71
Zn 0.8090 0.4225 0.5729  2 Cu 2.48-2.71, 3 Zn 2.58-2.74
Zn 0.1848 0.1848 0.7093  1 Cu 2.52, 4 Zn 2.58-2.73
Cu 0.5862 0.5862 0.2580  7 Zn 2.48-2.71
Zn 0.3137 0.6863 0.0000  2 Cu 2.64, 3 Zn 2.65-2.83
Zn 0.4225 0.8090 0.5729  2 Cu 2.48-2.71, 3 Zn 2.58-2.74
Zn 0.8152 0.8152 0.2907  1 Cu 2.52, 4 Zn 2.58-2.73

Results
The magnetic moment comes out at 0.00 μB/cell. As for the space-group type: C2/m, No. 12. The value obtained for the excess energy over the best structure of this formula in the dataset is 0.0000 eV/atom.



Entry 6:
The following is a DFT calculation (GGA-PBE) of an optimized crystal structure of BaZn9Cu2.

Cell lengths 6.9430, 8.3706, 8.3706 Å; angles 80.10, 65.50, 65.50 degrees
With the nearest neighbours (Å) after each atom.
Sites, in units of the cell vectors:
Zn 0.7279 0.8289 0.5817  2 Cu 2.57-2.63, 7 Zn 2.66-2.84
Zn 0.6115 0.0817 0.3289  2 Cu 2.57-2.63, 7 Zn 2.66-2.84
Zn 0.6904 0.1711 0.5817  2 Cu 2.57-2.63, 7 Zn 2.66-2.84
Zn 0.3068 0.0817 0.6711  2 Cu 2.57-2.63, 7 Zn 2.66-2.84
Zn 0.7500 0.5000 0.5000  4 Cu 2.83, 8 Zn 2.88
Zn 0.1385 0.4183 0.1711  2 Cu 2.57-2.63, 7 Zn 2.66-2.84
Zn 0.0596 0.9183 0.3289  2 Cu 2.57-2.63, 7 Zn 2.66-2.84
Zn 0.3068 0.6711 0.0817  2 Cu 2.57-2.63, 7 Zn 2.66-2.84
Zn 0.4432 0.4183 0.8289  2 Cu 2.57-2.63, 7 Zn 2.66-2.84
Zn 0.1385 0.1711 0.4183  2 Cu 2.57-2.63, 7 Zn 2.66-2.84
Cu 0.3750 0.7500 0.7500  10 Zn 2.57-2.83
Zn 0.6115 0.3289 0.0817  2 Cu 2.57-2.63, 7 Zn 2.66-2.84
Zn 0.0596 0.3289 0.9183  2 Cu 2.57-2.63, 7 Zn 2.66-2.84
Zn 0.0000 0.0000 0.0000  4 Cu 2.83, 8 Zn 2.88
Zn 0.4432 0.8289 0.4183  2 Cu 2.57-2.63, 7 Zn 2.66-2.84
Zn 0.7279 0.5817 0.8289  2 Cu 2.57-2.63, 7 Zn 2.66-2.84
Cu 0.8750 0.2500 0.2500  10 Zn 2.57-2.83
Ba 0.5000 0.0000 0.0000  18 Zn 3.39-3.47, 4 Cu 3.75
Zn 0.0221 0.9183 0.6711  2 Cu 2.57-2.63, 7 Zn 2.66-2.84
Cu 0.8750 0.7500 0.2500  10 Zn 2.57-2.83
Zn 0.6904 0.5817 0.1711  2 Cu 2.57-2.63, 7 Zn 2.66-2.84
Ba 0.2500 0.5000 0.5000  18 Zn 3.39-3.47, 4 Cu 3.75
Cu 0.8750 0.2500 0.7500  10 Zn 2.57-2.83
Zn 0.0221 0.6711 0.9183  2 Cu 2.57-2.63, 7 Zn 2.66-2.84

Results
The magnetic moment comes out at 0.00 μB/cell. As for the space-group type: I4_1/amd, No. 141. The value obtained for the excess energy over the best structure of this formula in the dataset is 0.0000 eV/atom.



Entry 7:
The following is a DFT calculation (GGA-PBE) of an optimized crystal structure of BaZnCu.

Cell lengths 4.9356, 4.9534, 8.0998 Å; angles 72.20, 90.00, 90.00 degrees
With the nearest neighbours (Å) after each atom.
Sites, in units of the cell vectors:
Ba 0.7500 0.6321 0.7357  4 Cu 3.44, 5 Zn 3.50-3.53
Cu 0.0000 0.0000 0.0000  2 Cu 2.47, 2 Zn 2.48
Cu 0.5000 0.0000 0.0000  2 Cu 2.47, 2 Zn 2.48
Zn 0.7500 0.8608 0.2783  2 Cu 2.48
Zn 0.2500 0.1392 0.7217  2 Cu 2.48
Ba 0.2500 0.3679 0.2643  4 Cu 3.44, 5 Zn 3.50-3.53

Results
The magnetic moment comes out at 0.00 μB/cell. As for the space-group type: Cmcm, No. 63.



Entry 8:
The following is a DFT calculation (GGA-PBE) of an optimized crystal structure of BaZn9Cu2.

Cell lengths 3.8771, 8.0817, 8.0817 Å; angles 120.00, 90.00, 90.00 degrees
With the nearest neighbours (Å) after each atom.
Sites, in units of the cell vectors:
Ba 0.0000 0.0000 0.0000  12 Zn 3.50, 2 Ba 3.88
Zn 0.5000 0.2083 0.4166  2 Cu 2.61, 6 Zn 2.86-2.92
Zn 0.5000 0.2083 0.7917  2 Cu 2.61, 6 Zn 2.86-2.92
Zn 0.0000 0.5000 0.5000  2 Cu 2.33
Cu 0.0000 0.6667 0.3333  9 Zn 2.33-2.61
Zn 0.0000 0.0000 0.5000  2 Cu 2.33
Zn 0.5000 0.7917 0.2083  2 Cu 2.61, 6 Zn 2.86-2.92
Zn 0.5000 0.7917 0.5834  2 Cu 2.61, 6 Zn 2.86-2.92
Cu 0.0000 0.3333 0.6667  9 Zn 2.33-2.61
Zn 0.5000 0.4166 0.2083  2 Cu 2.61, 6 Zn 2.86-2.92
Zn 0.0000 0.5000 0.0000  2 Cu 2.33
Zn 0.5000 0.5834 0.7917  2 Cu 2.61, 6 Zn 2.86-2.92

Results
The magnetic moment comes out at 0.00 μB/cell. As for the space-group type: P6/mmm, No. 191. The value obtained for the excess energy over the best structure of this formula in the dataset is 0.0952 eV/atom.



Number 1: formation enthalpy at 0 K 0.957 kcal/mol of atoms. Number 2: formation enthalpy at 0 K -2.971 kcal/mol of atoms. Number 3: formation enthalpy at 0 K 9.405 kcal/mol of atoms. Number 4: formation enthalpy at 0 K -3.948 kcal/mol of atoms. Number 5: formation enthalpy at 0 K -3.002 kcal/mol of atoms. Number 6: formation enthalpy at 0 K -3.949 kcal/mol of atoms. Number 7: formation enthalpy at 0 K -0.253 kcal/mol of atoms. Number 8: formation enthalpy at 0 K -1.754 kcal/mol of atoms.